P:
# Ti2AlCo3 | the Alexandria database | GGA-PBE | relaxed
# Magnetic moment: 1.82 μB per formula unit
data_Ti2AlCo3
_cell_length_a 2.9476
_cell_length_b 2.9476
_cell_length_c 8.8057
_cell_angle_alpha 90.00
_cell_angle_beta 90.00
_cell_angle_gamma 90.00
_symmetry_space_group_name_H-M 'P 4/m m m'
_symmetry_Int_Tables_number 123
_symmetry_space_group_name_Hall '-P 4 2'
loop_
_atom_site_label
_atom_site_fract_x
_atom_site_fract_y
_atom_site_fract_z
Ti1 0.0000 0.0000 0.1733
Al1 0.0000 0.0000 0.5000
Co1 0.5000 0.5000 0.0000
Co2 0.5000 0.5000 0.3355

---

Q:
# Ti2AlCo3 | the Alexandria database | GGA-PBE | relaxed
# Magnetic moment: 1.73 μB per formula unit
data_Ti2AlCo3
_cell_length_a 4.1406
_cell_length_b 12.4376
_cell_length_c 2.9672
_cell_angle_alpha 90.00
_cell_angle_beta 90.00
_cell_angle_gamma 90.00
_symmetry_space_group_name_H-M 'C m m m'
_symmetry_Int_Tables_number 65
_symmetry_space_group_name_Hall '-C 2 2'
loop_
_atom_site_label
_atom_site_fract_x
_atom_site_fract_y
_atom_site_fract_z
Ti1 0.0000 0.1629 0.0000
Al1 0.0000 0.5000 0.0000
Co1 0.0000 0.0000 0.5000
Co2 0.0000 0.3304 0.5000

---

Most stable: Q (next structure +9 meV/atom)

---

P:
# Ti3AlCo | the Alexandria database | GGA-PBE | relaxed
# Magnetic moment: 0.00 μB per formula unit
data_Ti3AlCo
_cell_length_a 4.6174
_cell_length_b 4.6174
_cell_length_c 4.6174
_cell_angle_alpha 90.00
_cell_angle_beta 90.00
_cell_angle_gamma 90.00
_symmetry_space_group_name_H-M 'P m -3 m'
_symmetry_Int_Tables_number 221
_symmetry_space_group_name_Hall '-P 4 2 3'
loop_
_atom_site_label
_atom_site_fract_x
_atom_site_fract_y
_atom_site_fract_z
Ti1 0.0000 0.0000 0.5000
Al1 0.0000 0.0000 0.0000
Co1 0.5000 0.5000 0.5000

---

Q:
# Ti3AlCo | the Alexandria database | GGA-PBE | relaxed
# Magnetic moment: 0.62 μB per formula unit
data_Ti3AlCo
_cell_length_a 4.2535
_cell_length_b 6.0564
_cell_length_c 6.0873
_cell_angle_alpha 90.00
_cell_angle_beta 90.00
_cell_angle_gamma 90.00
_symmetry_space_group_name_H-M 'P m m n'
_symmetry_Int_Tables_number 59
loop_
_symmetry_equiv_pos_as_xyz
'x,y,z'
'-x,-y,-z'
'-x+1/2,-y+1/2,z'
'x+1/2,y+1/2,-z'
'x+1/2,-y,-z'
'-x+1/2,y,z'
'-x,y+1/2,-z'
'x,-y+1/2,z'
loop_
_atom_site_label
_atom_site_fract_x
_atom_site_fract_y
_atom_site_fract_z
Ti1 0.2500 0.0315 0.1935
Ti2 0.2500 0.2500 0.7293
Al1 0.2500 0.7500 0.5608
Co1 0.2500 0.7500 0.9396

---

Most stable: Q (next structure +1442 meV/atom)

---

P:
# Al2TlCo | the Alexandria database | GGA-PBE | relaxed
# Magnetic moment: 0.00 μB per formula unit
data_Al2TlCo
_cell_length_a 6.4727
_cell_length_b 6.4727
_cell_length_c 6.4727
_cell_angle_alpha 90.00
_cell_angle_beta 90.00
_cell_angle_gamma 90.00
_symmetry_space_group_name_H-M 'F -4 3 m'
_symmetry_Int_Tables_number 216
_symmetry_space_group_name_Hall 'F -4 2 3'
loop_
_atom_site_label
_atom_site_fract_x
_atom_site_fract_y
_atom_site_fract_z
Al1 0.0000 0.0000 0.0000
Al2 0.2500 0.2500 0.2500
Tl1 0.2500 0.2500 0.7500
Co1 0.0000 0.0000 0.5000

---

Q:
# Al2TlCo | the Alexandria database | GGA-PBE | relaxed
# Magnetic moment: 0.74 μB per formula unit
data_Al2TlCo
_cell_length_a 4.1579
_cell_length_b 4.1579
_cell_length_c 17.3441
_cell_angle_alpha 90.00
_cell_angle_beta 90.00
_cell_angle_gamma 90.00
_symmetry_space_group_name_H-M 'I -4 2 d'
_symmetry_Int_Tables_number 122
_symmetry_space_group_name_Hall 'I -4 2bw'
loop_
_atom_site_label
_atom_site_fract_x
_atom_site_fract_y
_atom_site_fract_z
Al1 0.1916 0.2500 0.1250
Tl1 0.0000 0.0000 0.5000
Co1 0.0000 0.0000 0.0000

---

R:
# Al2TlCo | the Alexandria database | GGA-PBE | relaxed
# Magnetic moment: 0.03 μB per formula unit
data_Al2TlCo
_cell_length_a 3.0759
_cell_length_b 3.0759
_cell_length_c 25.8677
_cell_angle_alpha 90.00
_cell_angle_beta 90.00
_cell_angle_gamma 120.00
_symmetry_space_group_name_H-M 'R -3 m'
_symmetry_Int_Tables_number 166
_symmetry_space_group_name_Hall '-R 3 2"'
loop_
_atom_site_label
_atom_site_fract_x
_atom_site_fract_y
_atom_site_fract_z
Al1 0.0000 0.0000 0.2306
Tl1 0.0000 0.0000 0.0000
Co1 0.0000 0.0000 0.5000

---

Most stable: R (next structure +307 meV/atom)

---

P:
# Al2TlCo | the Alexandria database | GGA-PBE | relaxed
# Magnetic moment: 0.70 μB per formula unit
data_Al2TlCo
_cell_length_a 4.7308
_cell_length_b 3.1870
_cell_length_c 4.7795
_cell_angle_alpha 90.00
_cell_angle_beta 111.65
_cell_angle_gamma 90.00
_symmetry_space_group_name_H-M 'P 1 2/m 1'
_symmetry_Int_Tables_number 10
_symmetry_space_group_name_Hall '-P 2y'
loop_
_atom_site_label
_atom_site_fract_x
_atom_site_fract_y
_atom_site_fract_z
Al1 0.0000 0.0000 0.0000
Al2 0.5000 0.5000 0.0000
Tl1 0.0000 0.5000 0.5000
Co1 0.5000 0.0000 0.5000

---

Q:
# Al2TlCo | the Alexandria database | GGA-PBE | relaxed
# Magnetic moment: 0.00 μB per formula unit
data_Al2TlCo
_cell_length_a 6.4385
_cell_length_b 6.4385
_cell_length_c 6.4385
_cell_angle_alpha 90.00
_cell_angle_beta 90.00
_cell_angle_gamma 90.00
_symmetry_space_group_name_H-M 'F m -3 m'
_symmetry_Int_Tables_number 225
_symmetry_space_group_name_Hall '-F 4 2 3'
loop_
_atom_site_label
_atom_site_fract_x
_atom_site_fract_y
_atom_site_fract_z
Al1 0.2500 0.2500 0.2500
Tl1 0.0000 0.0000 0.0000
Co1 0.0000 0.0000 0.5000

---

Most stable: P (next structure +112 meV/atom)

---

P:
# Al2TlCo | the Alexandria database | GGA-PBE | relaxed
# Magnetic moment: 0.80 μB per formula unit
data_Al2TlCo
_cell_length_a 4.0111
_cell_length_b 4.0111
_cell_length_c 8.1759
_cell_angle_alpha 90.00
_cell_angle_beta 90.00
_cell_angle_gamma 90.00
_symmetry_space_group_name_H-M 'I -4 m 2'
_symmetry_Int_Tables_number 119
_symmetry_space_group_name_Hall 'I -4 -2'
loop_
_atom_site_label
_atom_site_fract_x
_atom_site_fract_y
_atom_site_fract_z
Al1 0.0000 0.0000 0.0000
Al2 0.0000 0.5000 0.2500
Tl1 0.0000 0.0000 0.5000
Co1 0.0000 0.5000 0.7500

---

Q:
# Al2TlCo | the Alexandria database | GGA-PBE | relaxed
# Magnetic moment: 0.64 μB per formula unit
data_Al2TlCo
_cell_length_a 4.0202
_cell_length_b 4.0202
_cell_length_c 8.1107
_cell_angle_alpha 90.00
_cell_angle_beta 90.00
_cell_angle_gamma 90.00
_symmetry_space_group_name_H-M 'I 4/m m m'
_symmetry_Int_Tables_number 139
_symmetry_space_group_name_Hall '-I 4 2'
loop_
_atom_site_label
_atom_site_fract_x
_atom_site_fract_y
_atom_site_fract_z
Al1 0.0000 0.5000 0.2500
Tl1 0.0000 0.0000 0.0000
Co1 0.0000 0.0000 0.5000

---

Most stable: Q (next structure +13 meV/atom)

---

P:
# Al2TlCo | the Alexandria database | GGA-PBE | relaxed
# Magnetic moment: 0.53 μB per formula unit
data_Al2TlCo
_cell_length_a 2.9329
_cell_length_b 2.9329
_cell_length_c 8.2723
_cell_angle_alpha 90.00
_cell_angle_beta 90.00
_cell_angle_gamma 90.00
_symmetry_space_group_name_H-M 'P 4/m m m'
_symmetry_Int_Tables_number 123
_symmetry_space_group_name_Hall '-P 4 2'
loop_
_atom_site_label
_atom_site_fract_x
_atom_site_fract_y
_atom_site_fract_z
Al1 0.0000 0.0000 0.1677
Tl1 0.5000 0.5000 0.5000
Co1 0.5000 0.5000 0.0000

---

Q:
# Al2TlCo | the Alexandria database | GGA-PBE | relaxed
# Magnetic moment: 0.80 μB per formula unit
data_Al2TlCo
_cell_length_a 5.4520
_cell_length_b 9.4855
_cell_length_c 3.1129
_cell_angle_alpha 90.00
_cell_angle_beta 120.25
_cell_angle_gamma 90.00
_symmetry_space_group_name_H-M 'C 1 2/m 1'
_symmetry_Int_Tables_number 12
_symmetry_space_group_name_Hall '-C 2y'
loop_
_atom_site_label
_atom_site_fract_x
_atom_site_fract_y
_atom_site_fract_z
Al1 0.2500 0.2500 0.0000
Tl1 0.0000 0.0000 0.0000
Co1 0.0000 0.5000 0.0000

---

R:
# Al2TlCo | the Alexandria database | GGA-PBE | relaxed
# Magnetic moment: 0.00 μB per formula unit
data_Al2TlCo
_cell_length_a 3.8683
_cell_length_b 3.8830
_cell_length_c 4.8301
_cell_angle_alpha 90.00
_cell_angle_beta 90.00
_cell_angle_gamma 90.00
_symmetry_space_group_name_H-M 'P m m 2'
_symmetry_Int_Tables_number 25
_symmetry_space_group_name_Hall 'P 2 -2'
loop_
_atom_site_label
_atom_site_fract_x
_atom_site_fract_y
_atom_site_fract_z
Al1 0.0000 0.0000 0.0000
Al2 0.5000 0.5000 0.0020
Tl1 0.0000 0.5000 0.5179
Co1 0.5000 0.0000 0.2792

---

Most stable: P (next structure +221 meV/atom)